# Dy3Ga5Co6 | Alexandria via LeMat-Bulk | PBE-GGA | relaxed
# E_tot: -153.95 eV/cell
# density of states at the Fermi level: 19.4 states/eV/cell
# volume: 449 Å³ per cell
data_Dy3Ga5Co6
_chemical_formula_sum 'Dy6 Ga10 Co12'
_symmetry_space_group_name_H-M 'P m m n'
_symmetry_Int_Tables_number 59
_cell_length_a 4.143
_cell_length_b 12.204
_cell_length_c 8.876
_cell_angle_alpha 90.00
_cell_angle_beta 90.00
_cell_angle_gamma 90.00
loop_
_symmetry_equiv_pos_as_xyz
'x,y,z'
'-x,-y,-z'
'-x+1/2,-y+1/2,z'
'x+1/2,y+1/2,-z'
'x+1/2,-y,-z'
'-x+1/2,y,z'
'-x,y+1/2,-z'
'x,-y+1/2,z'
loop_
_atom_site_label
_atom_site_type_symbol
_atom_site_fract_x
_atom_site_fract_y
_atom_site_fract_z
Dy1 Dy 0.250 0.069 0.249
Dy2 Dy 0.250 0.750 0.220
Ga1 Ga 0.250 0.088 0.865
Ga2 Ga 0.250 0.636 0.514
Ga3 Ga 0.250 0.750 0.842
Co1 Co 0.250 0.056 0.586
Co2 Co 0.250 0.250 0.020
Co3 Co 0.250 0.250 0.548
Co4 Co 0.250 0.585 0.992